Here is a geometry-optimized SrCaRu2 structure from Alexandria. Energies are from GGA-PBE.

Geometry as CIF:
```
data_SrCaRu2
_chemical_formula_sum 'Sr1 Ca1 Ru2'
_cell_length_a 3.165
_cell_length_b 4.471
_cell_length_c 6.610
_cell_angle_alpha 90.00
_cell_angle_beta 90.00
_cell_angle_gamma 90.00
_symmetry_space_group_name_H-M 'P 1'
_symmetry_Int_Tables_number 1
loop_
_symmetry_equiv_pos_as_xyz
'x,y,z'
loop_
_atom_site_label
_atom_site_type_symbol
_atom_site_fract_x
_atom_site_fract_y
_atom_site_fract_z
_atom_site_occupancy
Sr1 Sr 0.000 0.000 0.000 1
Ca1 Ca 0.000 0.000 0.500 1
Ru1 Ru 0.500 0.500 0.321 1
Ru2 Ru 0.500 0.500 0.679 1
```

Properties
Its magnetization is 1.02 μB per cell. As for the formation energy: 2.17 eV per formula unit. As for the space-group type: No. 47. As for the crystal system: orthorhombic.

***

Here is a geometry-optimized CoW3 structure from Alexandria. Energies are from GGA-PBE.

Geometry as CIF:
```
data_CoW3
_chemical_formula_sum 'Co2 W6'
_cell_length_a 5.549
_cell_length_b 5.549
_cell_length_c 4.472
_cell_angle_alpha 90.00
_cell_angle_beta 90.00
_cell_angle_gamma 120.00
_symmetry_space_group_name_H-M 'P 1'
_symmetry_Int_Tables_number 1
loop_
_symmetry_equiv_pos_as_xyz
'x,y,z'
loop_
_atom_site_label
_atom_site_type_symbol
_atom_site_fract_x
_atom_site_fract_y
_atom_site_fract_z
_atom_site_occupancy
Co1 Co 0.333 0.667 0.250 1
Co2 Co 0.667 0.333 0.750 1
W1 W 0.167 0.335 0.750 1
W2 W 0.167 0.833 0.750 1
W3 W 0.335 0.167 0.250 1
W4 W 0.665 0.833 0.750 1
W5 W 0.833 0.167 0.250 1
W6 W 0.833 0.665 0.250 1
```

Properties
Its magnetization is 0.99 μB per cell. As for the formation energy: 1.32 eV per formula unit. As for the space-group type: No. 194. As for the crystal system: hexagonal.

***

Here is a geometry-optimized Tb5Ir3 structure from Alexandria. Energies are from GGA-PBE.

Geometry as CIF:
```
data_Tb5Ir3
_chemical_formula_sum 'Tb20 Ir12'
_cell_length_a 10.944
_cell_length_b 10.944
_cell_length_c 6.404
_cell_angle_alpha 90.00
_cell_angle_beta 90.00
_cell_angle_gamma 90.00
_symmetry_space_group_name_H-M 'P 1'
_symmetry_Int_Tables_number 1
loop_
_symmetry_equiv_pos_as_xyz
'x,y,z'
loop_
_atom_site_label
_atom_site_type_symbol
_atom_site_fract_x
_atom_site_fract_y
_atom_site_fract_z
_atom_site_occupancy
Tb1 Tb 0.042 0.161 0.119 1
Tb2 Tb 0.042 0.339 0.619 1
Tb3 Tb 0.161 0.042 0.619 1
Tb4 Tb 0.161 0.458 0.119 1
Tb5 Tb 0.250 0.750 0.000 1
Tb6 Tb 0.250 0.750 0.500 1
Tb7 Tb 0.339 0.042 0.119 1
Tb8 Tb 0.339 0.458 0.619 1
Tb9 Tb 0.458 0.161 0.619 1
Tb10 Tb 0.458 0.339 0.119 1
Tb11 Tb 0.542 0.661 0.881 1
Tb12 Tb 0.542 0.839 0.381 1
Tb13 Tb 0.661 0.542 0.381 1
Tb14 Tb 0.661 0.958 0.881 1
Tb15 Tb 0.750 0.250 0.000 1
Tb16 Tb 0.750 0.250 0.500 1
Tb17 Tb 0.839 0.542 0.881 1
Tb18 Tb 0.839 0.958 0.381 1
Tb19 Tb 0.958 0.661 0.381 1
Tb20 Tb 0.958 0.839 0.881 1
Ir1 Ir 0.096 0.596 0.750 1
Ir2 Ir 0.096 0.904 0.250 1
Ir3 Ir 0.250 0.250 0.374 1
Ir4 Ir 0.250 0.250 0.874 1
Ir5 Ir 0.404 0.596 0.250 1
Ir6 Ir 0.404 0.904 0.750 1
Ir7 Ir 0.596 0.096 0.250 1
Ir8 Ir 0.596 0.404 0.750 1
Ir9 Ir 0.750 0.750 0.126 1
Ir10 Ir 0.750 0.750 0.626 1
Ir11 Ir 0.904 0.096 0.750 1
Ir12 Ir 0.904 0.404 0.250 1
```

Properties
Its magnetization is 0.00 μB per cell. As for the formation energy: -6.27 eV per formula unit. As for the space-group type: No. 130. As for the crystal system: tetragonal.

***

Here is a geometry-optimized SrRhAuI2 structure from Alexandria. Energies are from GGA-PBE.

Geometry as CIF:
```
data_SrRhAuI2
_chemical_formula_sum 'Sr1 Rh1 Au1 I2'
_cell_length_a 5.255
_cell_length_b 5.255
_cell_length_c 5.923
_cell_angle_alpha 90.00
_cell_angle_beta 90.00
_cell_angle_gamma 90.00
_symmetry_space_group_name_H-M 'P 1'
_symmetry_Int_Tables_number 1
loop_
_symmetry_equiv_pos_as_xyz
'x,y,z'
loop_
_atom_site_label
_atom_site_type_symbol
_atom_site_fract_x
_atom_site_fract_y
_atom_site_fract_z
_atom_site_occupancy
Sr1 Sr 0.000 0.000 0.000 1
Rh1 Rh 0.000 0.000 0.500 1
Au1 Au 0.500 0.500 0.000 1
I1 I 0.000 0.500 0.500 1
I2 I 0.500 0.000 0.500 1
```

Properties
Its magnetization is 0.00 μB per cell. The raw formation energy comes out at -0.163 eV/atom. As for the space-group type: No. 123. As for the crystal system: tetragonal.

***

Here is a geometry-optimized KCo2Ru structure from Alexandria. Energies are from GGA-PBE.

Geometry as CIF:
```
data_KCo2Ru
_chemical_formula_sum 'K1 Co2 Ru1'
_cell_length_a 4.456
_cell_length_b 4.456
_cell_length_c 4.456
_cell_angle_alpha 60.00
_cell_angle_beta 60.00
_cell_angle_gamma 60.00
_symmetry_space_group_name_H-M 'P 1'
_symmetry_Int_Tables_number 1
loop_
_symmetry_equiv_pos_as_xyz
'x,y,z'
loop_
_atom_site_label
_atom_site_type_symbol
_atom_site_fract_x
_atom_site_fract_y
_atom_site_fract_z
_atom_site_occupancy
K1 K 0.000 0.000 0.000 1
Co1 Co 0.250 0.250 0.250 1
Co2 Co 0.500 0.500 0.500 1
Ru1 Ru 0.750 0.750 0.750 1
```

Properties
Its magnetization is 4.82 μB per cell. As for the formation energy: 5.48 eV per formula unit. As for the space-group type: No. 216. As for the crystal system: cubic.

***

Here is a geometry-optimized BC7 structure from Alexandria. Energies are from GGA-PBE.

Geometry as CIF:
```
data_BC7
_chemical_formula_sum 'B1 C7'
_cell_length_a 4.450
_cell_length_b 4.450
_cell_length_c 4.450
_cell_angle_alpha 132.12
_cell_angle_beta 132.12
_cell_angle_gamma 70.03
_symmetry_space_group_name_H-M 'P 1'
_symmetry_Int_Tables_number 1
loop_
_symmetry_equiv_pos_as_xyz
'x,y,z'
loop_
_atom_site_label
_atom_site_type_symbol
_atom_site_fract_x
_atom_site_fract_y
_atom_site_fract_z
_atom_site_occupancy
B1 B 0.000 0.000 0.000 1
C1 C 0.129 0.615 0.000 1
C2 C 0.250 0.750 0.500 1
C3 C 0.385 0.385 0.514 1
C4 C 0.500 0.500 0.000 1
C5 C 0.615 0.129 0.000 1
C6 C 0.750 0.250 0.500 1
C7 C 0.871 0.871 0.486 1
```

Properties
Its magnetization is 0.00 μB per cell. As for the formation energy: 2.07 eV per formula unit. As for the space-group type: No. 121. As for the crystal system: tetragonal.

***

> magnetization of number 3 (Tb5Ir3)?

0.00 μB per cell

***

> Which value of magnetization does entry 2 give?

0.99 μB per cell